# 1
YBeSiIr | PBE | optimized geometry

The calculation puts the uncorrected formation energy at -0.373 eV per atom. As for the spin magnetization: 0.000 μB/f.u.

The space group is Imm2 (No. 44) and the conventional cell measures 4.028, 4.049 and 8.647 Å, with angles of 90.00, 90.00 and 90.00 degrees. The distinct sites, in fractional coordinates, are Y at (0.000, 0.000, 0.000), Be at (0.000, 0.500, 0.239), Si at (0.000, 0.000, 0.350) and Ir at (0.000, 0.000, 0.619).

---

# 2
Tb2PmEr6 | PBE | optimized geometry

As for the energy relative to the elements: 0.5 kcal/mol of atoms. As for the spin magnetization: 0.000 μB/f.u.

The space group is P4_2/mnm (No. 136) and the conventional cell measures 10.592, 10.592 and 5.003 Å, with angles of 90.00, 90.00 and 90.00 degrees. The distinct sites, in fractional coordinates, are Tb at (0.168, 0.168, 0.000), Pm at (0.000, 0.000, 0.500), Er at (0.001, 0.335, 0.500) and Er at (0.168, 0.832, 0.000).

---

# 3
Sb3Ir2 | PBE | optimized geometry

The calculation puts the uncorrected formation energy at 0.027 eV per atom. As for the spin magnetization: 0.000 μB/f.u.

The space group is P-3m1 (No. 164) and the conventional cell measures 4.4100, 4.4100 and 6.5143 Å, with angles of 90.00, 90.00 and 120.00 degrees. The distinct sites, in fractional coordinates, are Sb at (0.0000, 0.0000, 0.0000), Sb at (0.3333, 0.6667, 0.3492) and Ir at (0.3333, 0.6667, 0.7734).

---

# 4
TbPr5Dy5 | PBE | optimized geometry

As for the energy relative to the elements: 5.8 kcal/mol of atoms. As for the spin magnetization: 0.385 μB/f.u.

The space group is C2/m (No. 12) and the conventional cell measures 19.071, 6.043 and 7.079 Å, with angles of 90.00, 111.71 and 90.00 degrees. The distinct sites, in fractional coordinates, are Tb at (0.000, 0.000, 0.000), Pr at (0.000, 0.500, 0.000), Pr at (0.175, 0.000, 0.420), Pr at (0.175, 0.000, 0.932), Dy at (0.000, 0.000, 0.500), Dy at (0.122, 0.500, 0.623) and Dy at (0.169, 0.500, 0.170).

---

# 5
CeSm3Rh3 | PBE | optimized geometry

As for the energy relative to the elements: -14.3 kcal/mol of atoms. As for the spin magnetization: 0.000 μB/f.u.

The space group is C2/m (No. 12) and the conventional cell measures 9.519, 10.106 and 7.136 Å, with angles of 90.00, 91.10 and 90.00 degrees. The distinct sites, in fractional coordinates, are Ce at (0.238, 0.000, 0.136), Sm at (0.000, 0.175, 0.500), Sm at (0.000, 0.258, 0.000), Sm at (0.166, 0.500, 0.376), Rh at (0.074, 0.000, 0.812) and Rh at (0.239, 0.275, 0.714).

---

# 6
InRe3Ru | PBE | optimized geometry

As for the energy relative to the elements: 46.3 kcal/mol of atoms. As for the spin magnetization: 0.003 μB/f.u.

The space group is Pm-3m (No. 221) and the conventional cell measures 4.684, 4.684 and 4.684 Å, with angles of 90.00, 90.00 and 90.00 degrees. The distinct sites, in fractional coordinates, are In at (0.000, 0.000, 0.000), Re at (0.000, 0.500, 0.500) and Ru at (0.500, 0.500, 0.500).